Model A:
MgMnSbI2 (GGA-PBE, relaxed); DOS(E_F) = 4.57 states/eV/f.u.; space-group type = P4/mmm
1.0
-4.9868 1.0721 2.1335
-2.0050 -4.5630 -2.3935
1.1510 -2.6031 3.9984
I Sb Mn Mg
2 1 1 1
direct
0.0000 0.5000 0.0000
0.5000 0.0000 0.0000
0.0000 0.0000 0.5000
0.0000 0.0000 0.0000
0.5000 0.5000 0.5000

***

Model B:
MgMnSbI2 (GGA-PBE, relaxed); DOS(E_F) = 2.33 states/eV/f.u.; space-group type = P4/mmm
1.0
-1.2855 -1.7189 -5.1977
3.3684 -4.4572 0.6410
-4.4426 -3.0540 2.1087
I Mg Mn Sb
2 1 1 1
direct
0.0000 0.5000 0.0000
0.5000 0.0000 0.0000
0.0000 0.0000 0.0000
0.5000 0.5000 0.5000
0.0000 0.0000 0.5000

***

Which of them is the most stable? Correct choice: model B.

***

Model A:
MgMo2I (GGA-PBE, relaxed); DOS(E_F) = 3.47 states/eV/f.u.; space-group type = I-42d
1.0
-1.5360 1.4314 -3.3816
-0.0157 -3.6681 -1.5455
-10.5190 -2.6653 1.3071
Mo Mg I
4 2 2
direct
0.1814 0.6250 0.2500
0.8750 0.8186 0.7500
0.3750 0.4314 0.7500
0.5686 0.1250 0.2500
0.2500 0.7500 0.5000
0.5000 0.5000 0.0000
0.0000 0.0000 0.0000
0.7500 0.2500 0.5000

***

Model B:
MgMo2I (GGA-PBE, relaxed); DOS(E_F) = 5.23 states/eV/f.u.; space-group type = Fm-3m
1.0
-3.5109 -2.6833 1.4188
-0.8081 -0.5579 4.5360
-3.7515 1.9218 1.9423
Mo Mg I
2 1 1
direct
0.2500 0.2500 0.2500
0.7500 0.7500 0.7500
0.0000 0.0000 0.0000
0.5000 0.5000 0.5000

***

Which of them is the most stable? Correct choice: model A.

***

Model A:
Mg2MoI (GGA-PBE, relaxed); DOS(E_F) = 3.25 states/eV/f.u.; space-group type = Fm-3m
1.0
0.0000 3.6248 3.6248
3.6248 0.0000 3.6248
3.6248 3.6248 0.0000
I Mg Mo
1 2 1
direct
0.5000 0.5000 0.5000
0.7500 0.7500 0.7500
0.2500 0.2500 0.2500
0.0000 0.0000 0.0000

***

Model B:
Mg2MoI (GGA-PBE, relaxed); DOS(E_F) = 2.42 states/eV/f.u.; space-group type = I-42d
1.0
-2.8170 -2.7609 -7.1306
7.4199 -2.8227 -1.8383
1.6170 -5.4332 -3.1913
Mg I Mo
4 2 2
direct
0.3750 0.3844 0.7500
0.8750 0.8656 0.7500
0.1344 0.6250 0.2500
0.6156 0.1250 0.2500
0.7500 0.2500 0.5000
0.0000 0.0000 0.0000
0.2500 0.7500 0.5000
0.5000 0.5000 0.0000

***

Which of them is the most stable? Correct choice: model B.